1.
Sr6Hg2PdN | the Alexandria database | PBE | optimized geometry; total moment = 0.00 μB per atom; E_tot = -2.876 eV per atom; energy relative to the elements, uncorrected = -0.4548 eV per atom
1.0
-2.6991 4.9625 -5.4884
4.1125 -3.7667 -5.4282
-4.9904 -3.9228 4.5201
Sr N Hg Pd
6 1 2 1
Direct
0.1864 0.2181 0.9088
0.3190 0.7330 0.4660
0.1864 0.6907 0.9088
0.8136 0.7819 0.0912
0.6810 0.2670 0.5340
0.8136 0.3093 0.0912
0.0000 0.5000 0.0000
0.2356 0.2491 0.4983
0.7644 0.7509 0.5017
0.5000 0.0000 0.0000

2.
HgTe2PdN | the Alexandria database | PBE | optimized geometry; total moment = 0.00 μB per atom; E_tot = -3.404 eV per atom; energy relative to the elements, uncorrected = 0.6171 eV per atom
1.0
-2.4386 4.5689 2.3573
-2.5581 -3.3414 3.8300
2.8944 0.3775 2.2625
Pd Hg Te N
1 1 2 1
Direct
0.0000 0.0000 0.0000
0.5000 0.5000 0.5000
0.0000 0.5000 0.0000
0.5000 0.0000 0.0000
0.0000 0.0000 0.5000

3.
HgTePdN2 | the Alexandria database | PBE | optimized geometry; total moment = 0.72 μB per atom; E_tot = -3.191 eV per atom; energy relative to the elements, uncorrected = 1.8660 eV per atom
1.0
4.1655 0.0000 0.0000
0.0000 4.1655 0.0000
0.0000 0.0000 6.3634
Te N Pd Hg
1 2 1 1
Direct
0.0000 0.0000 0.5000
0.0000 0.5000 0.0000
0.5000 0.0000 0.0000
0.5000 0.5000 0.5000
0.0000 0.0000 0.0000

4.
HgTePdN2 | the Alexandria database | PBE | optimized geometry; total moment = 0.74 μB per atom; E_tot = -3.764 eV per atom; energy relative to the elements, uncorrected = 1.2933 eV per atom
1.0
4.1061 0.0000 0.0000
0.0000 4.1061 0.0000
0.0000 0.0000 5.8865
Pd Hg N Te
1 1 2 1
Direct
0.0000 0.0000 0.0000
0.5000 0.5000 0.5000
0.5000 0.0000 0.0000
0.0000 0.5000 0.0000
0.0000 0.0000 0.5000